Entry 1:
# K2PtAu2O6

An optimized crystal structure of K2PtAu2O6 (PBE, Alexandria via LeMat-Bulk).

- Crystal system: trigonal
- ρ: 6.7 g/cm³
- Energy relative to the elements, uncorrected: -461.8 meV/atom

Cell: 6.7918 6.7918 6.7918 Å, 53.89 53.89 53.89°
Positions (direct):
K1 0.2051 0.2051 0.2051
K2 0.7949 0.7949 0.7949
Pt1 0.0000 0.0000 0.0000
Au1 0.3928 0.3928 0.3928
Au2 0.6072 0.6072 0.6072
O1 0.2157 0.7830 0.7830
O2 0.2170 0.2170 0.7843
O3 0.2170 0.7843 0.2170
O4 0.7830 0.2157 0.7830
O5 0.7830 0.7830 0.2157
O6 0.7843 0.2170 0.2170



Entry 2:
# Co3Mo

An optimized crystal structure of Co3Mo (PBE, Alexandria via LeMat-Bulk).

- Crystal system: cubic
- ρ: 5.1 g/cm³
- E_form: 2124 meV per atom

Cell: 4.4693 4.4693 4.4693 Å, 90.00 90.00 90.00°
Positions (direct):
Co1 0.0000 0.0000 0.5000
Co2 0.0000 0.5000 0.0000
Co3 0.5000 0.0000 0.0000
Mo1 0.0000 0.0000 0.0000



Entry 3:
# CaTl2ZnCl6

An optimized crystal structure of CaTl2ZnCl6 (PBE, Alexandria via LeMat-Bulk).

- Crystal system: triclinic
- ρ: 4.4 g/cm³
- Energy relative to the elements, uncorrected: -1431.8 meV/atom

Cell: 7.2205 7.2307 7.2311 Å, 61.17 61.17 61.25°
Positions (direct):
Ca1 0.0000 0.0000 0.0000
Tl1 0.2587 0.2613 0.2595
Tl2 0.7413 0.7387 0.7405
Zn1 0.5000 0.5000 0.5000
Cl1 0.2032 0.7298 0.3202
Cl2 0.2651 0.6800 0.7966
Cl3 0.3223 0.2017 0.7325
Cl4 0.6777 0.7983 0.2675
Cl5 0.7349 0.3200 0.2034
Cl6 0.7968 0.2702 0.6798



Entry 4:
# CoTePI2

An optimized crystal structure of CoTePI2 (PBE, Alexandria via LeMat-Bulk).

- Offset from the most stable computed form: 0.881 eV per formula unit
- Crystal system: tetragonal
- ρ: 5.0 g/cm³
- Energy relative to the elements, uncorrected: 946.4 meV/atom

Cell: 5.3753 5.3753 5.4412 Å, 90.00 90.00 90.00°
Positions (direct):
Co1 0.0000 0.0000 0.0000
Te1 0.5000 0.5000 0.0000
P1 0.5000 0.5000 0.5000
I1 0.0000 0.5000 0.5000
I2 0.5000 0.0000 0.5000



Entry 5:
# NaAg4Hg

An optimized crystal structure of NaAg4Hg (PBE, Alexandria via LeMat-Bulk).

- Offset from the most stable computed form: 0.489 eV per formula unit
- Crystal system: orthorhombic
- ρ: 8.5 g/cm³
- E_form: 72 meV per atom

Cell: 8.4121 4.1426 7.3070 Å, 90.00 90.00 90.00°
Positions (direct):
Na1 0.2500 0.0000 0.1573
Na2 0.7500 0.0000 0.8427
Ag1 0.0000 0.0000 0.5000
Ag2 0.0170 0.5000 0.7995
Ag3 0.2500 0.5000 0.4625
Ag4 0.4830 0.5000 0.7995
Ag5 0.5000 0.0000 0.5000
Ag6 0.5170 0.5000 0.2005
Ag7 0.7500 0.5000 0.5375
Ag8 0.9830 0.5000 0.2005
Hg1 0.2500 0.0000 0.7669
Hg2 0.7500 0.0000 0.2331



Entry 6:
# Sb2POs

An optimized crystal structure of Sb2POs (PBE, Alexandria via LeMat-Bulk).

- Crystal system: orthorhombic
- ρ: 9.3 g/cm³
- Energy relative to the elements, uncorrected: 267.1 meV/atom

Cell: 3.0906 3.4531 7.7890 Å, 90.00 90.00 90.00°
Positions (direct):
Sb1 0.0000 0.0000 0.0000
Sb2 0.5000 0.5000 0.3961
P1 0.5000 0.5000 0.7592
Os1 0.0000 0.0000 0.6352



Entry 7:
# CaGe2H8

An optimized crystal structure of CaGe2H8 (PBE, Alexandria via LeMat-Bulk).

- DFT total energy: -3.3292 eV/atom
- Crystal system: monoclinic
- ρ: 2.8 g/cm³

Cell: 4.8685 4.8685 6.9175 Å, 118.61 118.61 56.81°
Positions (direct):
Ca1 0.0000 0.0000 0.0000
Ge1 0.4577 0.4577 0.6515
Ge2 0.5423 0.5423 0.3485
H1 0.1361 0.6423 0.2001
H2 0.2281 0.2281 0.4001
H3 0.3577 0.8639 0.7999
H4 0.3735 0.3735 0.8117
H5 0.6265 0.6265 0.1883
H6 0.6423 0.1361 0.2001
H7 0.7719 0.7719 0.5999
H8 0.8639 0.3577 0.7999



Entry 8:
# K2InGaTe4

An optimized crystal structure of K2InGaTe4 (PBE, Alexandria via LeMat-Bulk).

- Crystal system: orthorhombic
- ρ: 4.8 g/cm³
- Energy relative to the elements, uncorrected: -480.4 meV/atom

Cell: 9.0994 9.0994 9.0994 Å, 121.48 118.50 90.03°
Positions (direct):
K1 0.0000 0.0000 0.0000
K2 0.5000 0.0000 0.0000
K3 0.5000 0.0000 0.5000
K4 0.5000 0.5000 0.5000
In1 0.0000 0.5000 0.5000
In2 0.5000 0.5000 0.0000
Ga1 0.0000 0.0000 0.5000
Ga2 0.0000 0.5000 0.0000
Te1 0.1986 0.7378 0.4608
Te2 0.2230 0.2622 0.9608
Te3 0.2295 0.2543 0.5249
Te4 0.2295 0.7046 0.9751
Te5 0.7705 0.2954 0.0249
Te6 0.7705 0.7457 0.4751
Te7 0.7770 0.7378 0.0392
Te8 0.8014 0.2622 0.5392



Entry 9:
# Ba4MgHg

An optimized crystal structure of Ba4MgHg (PBE, Alexandria via LeMat-Bulk).

- Offset from the most stable computed form: 0.000 eV per formula unit
- Crystal system: tetragonal
- ρ: 4.5 g/cm³
- E_form: -203 meV per atom

Cell: 4.3208 4.3208 15.2802 Å, 90.00 90.00 90.00°
Positions (direct):
Ba1 0.0000 0.0000 0.1282
Ba2 0.0000 0.0000 0.8718
Ba3 0.5000 0.5000 0.3593
Ba4 0.5000 0.5000 0.6407
Mg1 0.0000 0.0000 0.5000
Hg1 0.5000 0.5000 0.0000



Entry 10:
# FeCuAs2

An optimized crystal structure of FeCuAs2 (PBE, Alexandria via LeMat-Bulk).

- Offset from the most stable computed form: 0.677 eV per formula unit
- Crystal system: tetragonal
- ρ: 7.6 g/cm³
- E_form: 244 meV per atom

Cell: 4.1214 4.1214 6.8857 Å, 90.00 90.00 90.00°
Positions (direct):
Fe1 0.0000 0.0000 0.0000
Fe2 0.5000 0.5000 0.5000
Cu1 0.0000 0.0000 0.5000
Cu2 0.5000 0.5000 0.0000
As1 0.0000 0.5000 0.2500
As2 0.0000 0.5000 0.7500
As3 0.5000 0.0000 0.2500
As4 0.5000 0.0000 0.7500



Entry 11:
# NdEr2Se3

An optimized crystal structure of NdEr2Se3 (PBE, Alexandria via LeMat-Bulk).

- Offset from the most stable computed form: 3.727 eV per formula unit
- Crystal system: orthorhombic
- ρ: 5.6 g/cm³
- Energy relative to the elements, uncorrected: -1116.0 meV/atom

Cell: 8.4552 8.4552 6.0263 Å, 90.00 90.00 102.18°
Positions (direct):
Nd1 0.0901 0.9099 0.7500
Nd2 0.9099 0.0901 0.2500
Er1 0.3171 0.3171 0.0000
Er2 0.3171 0.3171 0.5000
Er3 0.6829 0.6829 0.0000
Er4 0.6829 0.6829 0.5000
Se1 0.0395 0.2576 0.7500
Se2 0.2576 0.0395 0.2500
Se3 0.3972 0.6028 0.2500
Se4 0.6028 0.3972 0.7500
Se5 0.7424 0.9605 0.7500
Se6 0.9605 0.7424 0.2500



Entry 12:
# SmVSb

An optimized crystal structure of SmVSb (PBE, Alexandria via LeMat-Bulk).

- Crystal system: orthorhombic
- ρ: 7.1 g/cm³
- Energy relative to the elements, uncorrected: -71.1 meV/atom

Cell: 8.9180 8.8805 4.2468 Å, 76.69 75.71 27.61°
Positions (direct):
Sm1 0.1827 0.1827 0.8173
Sm2 0.8173 0.8173 0.1827
V1 0.1582 0.8418 0.8418
V2 0.8418 0.1582 0.1582
Sb1 0.3772 0.3772 0.6228
Sb2 0.6228 0.6228 0.3772